Below is a geometry-optimized YTc2PC structure, with properties calculated at the PBE level.

The raw total energy is -8.99 eV per atom. The calculation puts the density of states at the Fermi level at 14.26 states/eV/cell. The value obtained for the size of the total moment is 0.00 μB per formula unit.

The space group is Cmcm (No. 63) and the conventional cell measures 3.848, 11.020 and 7.149 Å, with angles of 90.00, 90.00 and 90.00 degrees. The asymmetric unit holds Y at (0.000, 0.042, 0.250), Tc at (0.000, 0.330, 0.060), P at (0.000, 0.233, 0.750) and C at (0.000, 0.500, 0.000).

=====

Below is a geometry-optimized ZrTcP2C structure, with properties calculated at the PBE level.

The raw total energy is -6.29 eV per atom. The calculation puts the density of states at the Fermi level at 3.64 states/eV/cell. The value obtained for the size of the total moment is 3.43 μB per formula unit.

The space group is P4/mmm (No. 123) and the conventional cell measures 5.010, 5.010 and 4.189 Å, with angles of 90.00, 90.00 and 90.00 degrees. The asymmetric unit holds Zr at (0.000, 0.000, 0.000), Tc at (0.500, 0.500, 0.500), P at (0.000, 0.500, 0.000) and C at (0.000, 0.000, 0.500).

=====

Below is a geometry-optimized TePC3 structure, with properties calculated at the PBE level.

The raw total energy is -5.18 eV per atom. The energy relative to the lowest polymorph listed for this composition is 0.000 eV per atom. The calculation puts the density of states at the Fermi level at 2.08 states/eV/cell. The value obtained for the size of the total moment is 0.00 μB per formula unit.

The space group is Pm-3m (No. 221) and the conventional cell measures 3.778, 3.778 and 3.778 Å, with angles of 90.00, 90.00 and 90.00 degrees. The asymmetric unit holds Te at (0.000, 0.000, 0.000), P at (0.500, 0.500, 0.500) and C at (0.000, 0.500, 0.500).

=====

Below is a geometry-optimized Te3PC structure, with properties calculated at the PBE level.

The raw total energy is -3.58 eV per atom. The energy relative to the lowest polymorph listed for this composition is 0.000 eV per atom. The calculation puts the density of states at the Fermi level at 2.53 states/eV/cell. The value obtained for the size of the total moment is 0.00 μB per formula unit.

The space group is Pm-3m (No. 221) and the conventional cell measures 4.758, 4.758 and 4.758 Å, with angles of 90.00, 90.00 and 90.00 degrees. The asymmetric unit holds Te at (0.000, 0.000, 0.500), P at (0.500, 0.500, 0.500) and C at (0.000, 0.000, 0.000).

=====

Below is a geometry-optimized TePC2 structure, with properties calculated at the PBE level.

The raw total energy is -5.58 eV per atom. The energy relative to the lowest polymorph listed for this composition is 0.000 eV per atom. The calculation puts the density of states at the Fermi level at 6.90 states/eV/cell. The value obtained for the size of the total moment is 0.00 μB per formula unit.

The space group is I-42d (No. 122) and the conventional cell measures 5.188, 5.188 and 8.058 Å, with angles of 90.00, 90.00 and 90.00 degrees. The asymmetric unit holds Te at (0.000, 0.000, 0.000), P at (0.000, 0.000, 0.500) and C at (0.136, 0.250, 0.625).

=====

Below is a geometry-optimized TePC3 structure, with properties calculated at the PBE level.

The raw total energy is -4.06 eV per atom. The energy relative to the lowest polymorph listed for this composition is 1.121 eV per atom. The calculation puts the density of states at the Fermi level at 3.06 states/eV/cell. The value obtained for the size of the total moment is 0.00 μB per formula unit.

The space group is Pm-3m (No. 221) and the conventional cell measures 4.154, 4.154 and 4.154 Å, with angles of 90.00, 90.00 and 90.00 degrees. The asymmetric unit holds Te at (0.000, 0.000, 0.000), P at (0.500, 0.500, 0.500) and C at (0.000, 0.000, 0.500).

=====

Below is a geometry-optimized Te2PC structure, with properties calculated at the PBE level.

The raw total energy is -3.59 eV per atom. The energy relative to the lowest polymorph listed for this composition is 0.478 eV per atom. The calculation puts the density of states at the Fermi level at 8.74 states/eV/cell. The value obtained for the size of the total moment is 0.00 μB per formula unit.

The space group is Fm-3m (No. 225) and the conventional cell measures 6.673, 6.673 and 6.673 Å, with angles of 90.00, 90.00 and 90.00 degrees. The asymmetric unit holds Te at (0.250, 0.250, 0.250), P at (0.000, 0.000, 0.000) and C at (0.000, 0.000, 0.500).

=====

Below is a geometry-optimized Te2PC structure, with properties calculated at the PBE level.

The raw total energy is -3.97 eV per atom. The energy relative to the lowest polymorph listed for this composition is 0.091 eV per atom. The calculation puts the density of states at the Fermi level at 2.84 states/eV/cell. The value obtained for the size of the total moment is 0.00 μB per formula unit.

The space group is R-3m (No. 166, hexagonal axes) and the conventional cell measures 4.4014, 4.4014 and 20.7959 Å, with angles of 90.00, 90.00 and 120.00 degrees. The asymmetric unit holds Te at (0.0000, 0.0000, 0.0937), P at (0.0000, 0.0000, 0.5000) and C at (0.0000, 0.0000, 0.0000).

=====

Question: Which value of size of the total moment does entry 2 give?
Answer: 3.43 μB per formula unit

=====

Please write out number 6 again, unchanged.
Below is a geometry-optimized TePC3 structure, with properties calculated at the PBE level.

The raw total energy is -4.06 eV per atom. The energy relative to the lowest polymorph listed for this composition is 1.121 eV per atom. The calculation puts the density of states at the Fermi level at 3.06 states/eV/cell. The value obtained for the size of the total moment is 0.00 μB per formula unit.

The space group is Pm-3m (No. 221) and the conventional cell measures 4.154, 4.154 and 4.154 Å, with angles of 90.00, 90.00 and 90.00 degrees. The asymmetric unit holds Te at (0.000, 0.000, 0.000), P at (0.500, 0.500, 0.500) and C at (0.000, 0.000, 0.500).

=====

Question: Number 2 is which compound?
Answer: ZrTcP2C

=====

Question: size of the total moment of number 6 (TePC3)?
Answer: 0.00 μB per formula unit